This record from the Alexandria database describes crystalline Ca2SmOsN4 at its relaxed geometry. The functional is PBE-GGA.

Formation energy without anion corrections   -549 meV/atom
E_tot   -7.206 eV per atom
DOS at the Fermi energy   0.39 states/eV/atom

Cell: 3.4546 6.0485 11.9398 Å, 90.00 90.00 106.59°
With the nearest neighbours (Å) after each atom.
Atoms (fractional coordinates):
Ca 0.3705 0.7410 0.5345  3 N 2.33-2.36
Ca 0.6295 0.2590 0.0345  3 N 2.33-2.36
Ca 0.6295 0.2590 0.4655  3 N 2.33-2.36
Ca 0.3705 0.7410 0.9655  3 N 2.33-2.36
Sm 0.1125 0.2250 0.7500  6 N 2.58-2.75
Sm 0.8875 0.7750 0.2500  6 N 2.58-2.75
Os 0.8464 0.6929 0.7500  4 N 1.90-1.97
Os 0.1536 0.3071 0.2500  4 N 1.90-1.97
N 0.2700 0.5400 0.1378  1 Os 1.90
N 0.7300 0.4600 0.6378  1 Os 1.90
N 0.7300 0.4600 0.8622  1 Os 1.90
N 0.2700 0.5400 0.3622  1 Os 1.90
N 0.0000 0.0000 0.5000  4 Ca 2.33
N 0.0000 0.0000 0.0000  4 Ca 2.33
N 0.4282 0.8564 0.7500  2 Os 1.97
N 0.5718 0.1436 0.2500  2 Os 1.97

This record from the Alexandria database describes crystalline Ca2SnOsN at its relaxed geometry. The functional is PBE-GGA.

Formation energy without anion corrections   -465 meV/atom
E_tot   -5.977 eV per atom
DOS at the Fermi energy   0.33 states/eV/atom

Cell: 5.1293 5.1293 3.8288 Å, 90.00 90.00 90.00°
With the nearest neighbours (Å) after each atom.
Atoms (fractional coordinates):
Ca 0.0000 0.5000 0.0000  2 N 2.56
Ca 0.5000 0.0000 0.0000  2 N 2.56
Os 0.0000 0.0000 0.5000  2 N 1.91
Sn 0.5000 0.5000 0.5000  8 Ca 3.20
N 0.0000 0.0000 0.0000  2 Os 1.91

This record from the Alexandria database describes crystalline Ca2SnOsN at its relaxed geometry. The functional is PBE-GGA.

Formation energy without anion corrections   1375 meV/atom
E_tot   -4.137 eV per atom
DOS at the Fermi energy   1.01 states/eV/atom

Cell: 5.8989 4.0259 5.8989 Å, 90.00 90.00 90.00°
With the nearest neighbours (Å) after each atom.
Atoms (fractional coordinates):
Ca 0.0000 0.0000 0.5000  2 Sn 2.95
Ca 0.5000 0.0000 0.0000  2 Sn 2.95
Os 0.5000 0.5000 0.5000  8 Ca 3.57
Sn 0.0000 0.0000 0.0000  2 N 2.01
N 0.0000 0.5000 0.0000  2 Sn 2.01

This record from the Alexandria database describes crystalline Sr2CaOs2N6 at its relaxed geometry. The functional is PBE-GGA.

Formation energy without anion corrections   -341 meV/atom
E_tot   -7.411 eV per atom

Cell: 6.0056 6.0056 7.0308 Å, 64.72 64.72 60.00°
With the nearest neighbours (Å) after each atom.
Atoms (fractional coordinates):
Sr 0.7912 0.7912 0.6263  9 N 2.76-3.06
Sr 0.2088 0.2088 0.3737  9 N 2.76-3.06
Ca 0.0000 0.0000 0.0000  6 N 2.44
Os 0.4050 0.4050 0.7851  3 N 1.76
Os 0.5950 0.5950 0.2149  3 N 1.76
N 0.7396 0.7396 0.2776  1 Os 1.76
N 0.2432 0.7396 0.2776  1 Os 1.76
N 0.7396 0.2432 0.2776  1 Os 1.76
N 0.2604 0.7568 0.7224  1 Os 1.76
N 0.7568 0.2604 0.7224  1 Os 1.76
N 0.2604 0.2604 0.7224  1 Os 1.76

Question: The highest E_tot belongs to which entry?
Answer: number 3

Question: Which value of formation energy without anion corrections does entry 1 give?
Answer: -549 meV/atom